{
  "formula": "TlCuS2",
  "functional": "GGA-PBE",
  "state": "relaxed",
  "cell": [[-0.1497, 6.5654, -2.2886], [-4.9417, 3.6789, -3.2263], [-0.7840, -0.5140, 5.5885]],
  "species": ["Cu", "Cu", "S", "S", "S", "S", "Tl", "Tl"],
  "fractional_positions": [[0.0006, 0.7502, 0.1261], [0.2498, 0.9994, 0.8739], [0.3271, 0.6729, 0.0000], [0.1258, 0.3741, 0.2015], [0.9212, 0.0788, 0.5000], [0.6259, 0.8742, 0.7985], [0.7502, 0.5007, 0.3746], [0.4993, 0.2498, 0.6254]],
  "dft_energy_ev_per_cell": -30.494
}